# Dy2Al6Si4Pt (GGA-PBE, relaxed)
# Total magnetization (Bohr magnetons per cell): 0.0
# DFT total energy (eV/atom): -5.09
# Raw formation energy (meV per atom): -525.4
data_Dy2Al6Si4Pt
_chemical_formula_sum 'Dy6 Al18 Si12 Pt3'
_cell_length_a 4.1793
_cell_length_b 4.1793
_cell_length_c 50.3042
_cell_angle_alpha 90.00
_cell_angle_beta 90.00
_cell_angle_gamma 120.00
_symmetry_space_group_name_H-M 'R -3 m'
_symmetry_Int_Tables_number 166
_symmetry_space_group_name_Hall '-R 3 2"'
loop_
_atom_site_label
_atom_site_fract_x
_atom_site_fract_y
_atom_site_fract_z
Dy1 0.0000 0.0000 0.0657
Al1 0.0000 0.0000 0.1823
Al2 0.0000 0.0000 0.3146
Al3 0.0000 0.0000 0.4491
Si1 0.0000 0.0000 0.2343
Si2 0.0000 0.0000 0.3647
Pt1 0.0000 0.0000 0.5000